# 1
## LiOs2Rh (PBE-GGA)

Data for LiOs2Rh after structural relaxation.

a b c (Å): 6.015 6.015 6.015
angles (deg): 90.00 90.00 90.00
Fractional coordinates of all 16 atoms:
1 Li 0.000 0.000 0.000
2 Li 0.000 0.500 0.500
3 Li 0.500 0.000 0.500
4 Li 0.500 0.500 0.000
5 Os 0.250 0.250 0.250
6 Os 0.250 0.250 0.750
7 Os 0.250 0.750 0.250
8 Os 0.250 0.750 0.750
9 Os 0.750 0.250 0.250
10 Os 0.750 0.250 0.750
11 Os 0.750 0.750 0.250
12 Os 0.750 0.750 0.750
13 Rh 0.000 0.000 0.500
14 Rh 0.000 0.500 0.000
15 Rh 0.500 0.000 0.000
16 Rh 0.500 0.500 0.500

The value obtained for the energy above the most stable polymorph in this dataset is 1.676 eV/f.u. Its space group is Fm-3m, No. 225. The formation enthalpy at 0 K comes out at 2.1 eV/f.u. The value obtained for the density is 14.968 g/cm³.

***

# 2
## LiOs2Rh (PBE-GGA)

Data for LiOs2Rh after structural relaxation.

a b c (Å): 9.089 2.692 4.568
angles (deg): 90.00 98.21 90.00
Fractional coordinates of all 8 atoms:
1 Li 0.000 0.000 0.000
2 Li 0.500 0.500 0.000
3 Os 0.239 0.000 0.753
4 Os 0.261 0.500 0.247
5 Os 0.739 0.500 0.753
6 Os 0.761 0.000 0.247
7 Rh 0.000 0.500 0.500
8 Rh 0.500 0.000 0.500

The value obtained for the energy above the most stable polymorph in this dataset is 0.000 eV/f.u. Its space group is C2/m, No. 12. The formation enthalpy at 0 K comes out at 0.5 eV/f.u. The value obtained for the density is 14.722 g/cm³.

***

# 3
## Li2OsRh (PBE-GGA)

Data for Li2OsRh after structural relaxation.

a b c (Å): 3.590 3.590 4.309
angles (deg): 90.00 90.00 90.00
Fractional coordinates of all 4 atoms:
1 Li 0.000 0.500 0.000
2 Li 0.500 0.000 0.000
3 Os 0.000 0.000 0.500
4 Rh 0.500 0.500 0.500

The value obtained for the energy above the most stable polymorph in this dataset is 1.195 eV/f.u. Its space group is P4/mmm, No. 123. The formation enthalpy at 0 K comes out at 1.1 eV/f.u. The value obtained for the density is 9.182 g/cm³.

***

# 4
## Li2OsRh (PBE-GGA)

Data for Li2OsRh after structural relaxation.

a b c (Å): 5.805 5.805 5.805
angles (deg): 90.00 90.00 90.00
Fractional coordinates of all 16 atoms:
1 Li 0.250 0.250 0.250
2 Li 0.250 0.250 0.750
3 Li 0.250 0.750 0.250
4 Li 0.250 0.750 0.750
5 Li 0.750 0.250 0.250
6 Li 0.750 0.250 0.750
7 Li 0.750 0.750 0.250
8 Li 0.750 0.750 0.750
9 Os 0.000 0.000 0.000
10 Os 0.000 0.500 0.500
11 Os 0.500 0.000 0.500
12 Os 0.500 0.500 0.000
13 Rh 0.000 0.000 0.500
14 Rh 0.000 0.500 0.000
15 Rh 0.500 0.000 0.000
16 Rh 0.500 0.500 0.500

The value obtained for the energy above the most stable polymorph in this dataset is 2.137 eV/f.u. Its space group is Fm-3m, No. 225. The formation enthalpy at 0 K comes out at 2.0 eV/f.u. The value obtained for the density is 10.424 g/cm³.

***

# 5
## LiOsRh4 (PBE-GGA)

Data for LiOsRh4 after structural relaxation.

a b c (Å): 5.052 5.052 5.052
angles (deg): 60.00 60.00 60.00
Fractional coordinates of all 6 atoms:
1 Li 0.000 0.000 0.000
2 Os 0.750 0.750 0.750
3 Rh 0.375 0.375 0.375
4 Rh 0.375 0.375 0.876
5 Rh 0.375 0.876 0.375
6 Rh 0.876 0.375 0.375

Its space group is F-43m, No. 216. The formation enthalpy at 0 K comes out at 2.7 eV/f.u. The value obtained for the density is 11.089 g/cm³.

***

# 6
## Li2OsRh (PBE-GGA)

Data for Li2OsRh after structural relaxation.

a b c (Å): 2.696 4.510 9.019
angles (deg): 90.00 90.00 90.00
Fractional coordinates of all 8 atoms:
1 Li 0.000 0.000 0.244
2 Li 0.000 0.000 0.756
3 Li 0.500 0.500 0.244
4 Li 0.500 0.500 0.756
5 Os 0.000 0.500 0.500
6 Os 0.500 0.000 0.500
7 Rh 0.000 0.500 0.000
8 Rh 0.500 0.000 0.000

The value obtained for the energy above the most stable polymorph in this dataset is 0.240 eV/f.u. Its space group is Cmmm, No. 65. The formation enthalpy at 0 K comes out at 0.1 eV/f.u. The value obtained for the density is 9.296 g/cm³.

***

# 7
## LiOs2Rh (PBE-GGA)

Data for LiOs2Rh after structural relaxation.

a b c (Å): 3.626 3.626 4.186
angles (deg): 90.00 90.00 90.00
Fractional coordinates of all 4 atoms:
1 Li 0.000 0.000 0.000
2 Os 0.000 0.500 0.500
3 Os 0.500 0.000 0.500
4 Rh 0.500 0.500 0.000

The value obtained for the energy above the most stable polymorph in this dataset is 0.754 eV/f.u. Its space group is P4/mmm, No. 123. The formation enthalpy at 0 K comes out at 1.2 eV/f.u. The value obtained for the density is 14.794 g/cm³.

***

# 8
## LiOs2Rh (PBE-GGA)

Data for LiOs2Rh after structural relaxation.

a b c (Å): 2.787 4.384 4.537
angles (deg): 90.00 90.00 90.00
Fractional coordinates of all 4 atoms:
1 Li 0.000 0.000 0.000
2 Os 0.000 0.500 0.500
3 Os 0.500 0.000 0.500
4 Rh 0.500 0.500 0.000

The value obtained for the energy above the most stable polymorph in this dataset is 0.568 eV/f.u. Its space group is Pmmm, No. 47. The formation enthalpy at 0 K comes out at 1.0 eV/f.u. The value obtained for the density is 14.688 g/cm³.